1.
Entry from the Alexandria database: Pr2NdEr4Sc after structural relaxation (PBE-GGA).

a b c (Å): 9.435 9.434 11.756
angles (deg): 128.54 128.54 88.11
Each line ends with the local moment (μB).
Element x y z (fractional)
Pr 0.500 0.000 0.000  0.03
Er 0.750 0.750 0.983  0.04
Pr 0.500 0.500 0.000  0.07
Er 0.750 0.750 0.517  0.04
Nd 0.000 0.500 0.000  0.02
Er 0.235 0.765 0.000  0.07
Pr 0.500 0.000 0.500  0.03
Er 0.765 0.235 0.000  0.07
Er 0.250 0.250 0.483  0.04
Er 0.735 0.265 0.500  0.07
Sc 0.500 0.500 0.500  0.06
Sc 0.000 0.000 0.000  0.06
Er 0.250 0.250 0.017  0.04
Nd 0.000 0.500 0.500  0.02
Er 0.265 0.735 0.500  0.07
Pr 0.000 0.000 0.500  0.07

2.
Entry from the Alexandria database: LaMgAu2 after structural relaxation (PBE-GGA).

a b c (Å): 6.990 6.990 6.990
angles (deg): 35.35 35.35 35.35
Element x y z (fractional)
Mg 0.672 0.672 0.672
La 0.496 0.496 0.496
Au 0.266 0.266 0.266
Au 0.067 0.067 0.067

We obtain calculated density values of 7262 9058 kg/m³ for the records listed above, in that order.
We obtain energy of formation values of 0.408 -0.584 eV/atom for the records listed above, in that order.
We obtain magnetic moment values of 1.09 0.00 μB per cell for the records listed above, in that order.